# 1
{
  "formula": "ZrIn2Hg",
  "functional": "PBE",
  "state": "optimized geometry",
  "lattice_angstrom": [[0.000, 3.594, 3.594], [3.594, 0.000, 3.594], [3.594, 3.594, 0.000]],
  "species": ["Zr", "In", "In", "Hg"],
  "fractional_positions": [[0.000, 0.000, 0.000], [0.500, 0.500, 0.500], [0.750, 0.750, 0.750], [0.250, 0.250, 0.250]],
  "total_energy_ev_per_cell": -13.68,
  "m_tot_mub_per_cell": 0.222
}

=====

# 2
{
  "formula": "YMgTaFe",
  "functional": "PBE",
  "state": "optimized geometry",
  "lattice_angstrom": [[0.000, 3.306, 3.306], [3.306, 0.000, 3.306], [3.306, 3.306, 0.000]],
  "species": ["Y", "Mg", "Ta", "Fe"],
  "fractional_positions": [[0.000, 0.000, 0.000], [0.250, 0.250, 0.250], [0.750, 0.750, 0.750], [0.500, 0.500, 0.500]],
  "polymorph_energy_ev_per_atom": 0.1070,
  "m_tot_mub_per_cell": 0.005
}

=====

# 3
{
  "formula": "PrErIn2Pt4",
  "functional": "PBE",
  "state": "optimized geometry",
  "lattice_angstrom": [[4.610, 0.000, 0.000], [-2.305, 3.992, 0.000], [0.000, 0.000, 9.185]],
  "species": ["Pr", "Er", "In", "In", "Pt", "Pt", "Pt", "Pt"],
  "fractional_positions": [[0.000, 0.000, 0.000], [0.333, 0.667, 0.500], [0.667, 0.333, 0.255], [0.667, 0.333, 0.745], [0.000, 0.000, 0.347], [0.000, 0.000, 0.653], [0.333, 0.667, 0.169], [0.333, 0.667, 0.831]],
  "total_energy_ev_per_cell": -46.50,
  "m_tot_mub_per_cell": 0.000
}

=====

# 4
{
  "formula": "NbFeAs",
  "functional": "PBE",
  "state": "optimized geometry",
  "lattice_angstrom": [[4.051, 0.000, 0.000], [-2.025, 3.508, 0.000], [0.000, 0.000, 6.211]],
  "species": ["Nb", "Nb", "Fe", "Fe", "As", "As"],
  "fractional_positions": [[0.000, 0.000, 0.000], [0.000, 0.000, 0.500], [0.333, 0.667, 0.363], [0.667, 0.333, 0.863], [0.333, 0.667, 0.751], [0.667, 0.333, 0.251]],
  "total_energy_ev_per_cell": -48.36,
  "m_tot_mub_per_cell": 0.014
}